No. 1
Here is crystalline Sm7Tm2Sc at its relaxed geometry from Alexandria via LeMat-Bulk. Energies are from PBE.

Properties
- mass density (Mg/m³) = 6.1
- ΔH_f (0 K) (eV/f.u.) = 6.74
- VASP energy (eV/atom) = -4.157

Cell: 5.290 9.527 9.527 Å, 124.93 90.00 90.00°
Element x y z (fractional)
Sm1 0.000 0.801 0.199
Sm2 0.000 0.199 0.801
Sm3 0.500 0.070 0.287
Sm4 0.500 0.930 0.713
Sm5 0.500 0.287 0.070
Sm6 0.500 0.713 0.930
Sm7 0.500 0.500 0.500
Tm1 0.500 0.704 0.296
Tm2 0.500 0.296 0.704
Sc1 0.000 0.000 0.000



No. 2
Here is crystalline SmTmSc6 at its relaxed geometry from Alexandria via LeMat-Bulk. Energies are from PBE.

Properties
- mass density (Mg/m³) = 4.6
- energy relative to the lowest polymorph listed for this composition (eV/atom) = 0.000
- ΔH_f (0 K) (eV/f.u.) = 0.19
- VASP energy (eV/atom) = -5.874

Cell: 5.302 6.782 6.782 Å, 120.00 90.00 90.00°
Element x y z (fractional)
Sm1 0.500 0.417 0.583
Tm1 0.000 0.083 0.917
Sc1 0.000 0.075 0.413
Sc2 0.000 0.587 0.925
Sc3 0.000 0.587 0.413
Sc4 0.500 0.423 0.087
Sc5 0.500 0.913 0.577
Sc6 0.500 0.913 0.087



No. 3
Here is crystalline Sm4TmSc2 at its relaxed geometry from Alexandria via LeMat-Bulk. Energies are from PBE.

Properties
- mass density (Mg/m³) = 6.6
- energy relative to the lowest polymorph listed for this composition (eV/atom) = 0.000
- ΔH_f (0 K) (eV/f.u.) = 1.08
- VASP energy (eV/atom) = -4.990

Cell: 5.516 6.832 11.772 Å, 90.00 103.58 90.00°
Element x y z (fractional)
Sm1 0.645 0.498 0.289
Sm2 0.931 0.750 0.861
Sm3 0.069 0.250 0.139
Sm4 0.645 0.002 0.289
Sm5 0.783 0.250 0.565
Sm6 0.355 0.998 0.711
Sm7 0.355 0.502 0.711
Sm8 0.217 0.750 0.435
Tm1 0.077 0.750 0.151
Tm2 0.923 0.250 0.849
Sc1 0.502 0.750 0.002
Sc2 0.498 0.250 0.998
Sc3 0.210 0.250 0.420
Sc4 0.790 0.750 0.580



No. 4
Here is crystalline Sm12Tm3Sc at its relaxed geometry from Alexandria via LeMat-Bulk. Energies are from PBE.

Properties
- mass density (Mg/m³) = 7.5
- ΔH_f (0 K) (eV/f.u.) = 0.37
- VASP energy (eV/atom) = -4.750

Cell: 5.064 5.064 20.210 Å, 90.00 90.00 90.00°
Element x y z (fractional)
Sm1 0.500 0.500 0.000
Sm2 0.500 0.500 0.248
Sm3 0.500 0.500 0.500
Sm4 0.500 0.500 0.752
Sm5 0.500 0.000 0.122
Sm6 0.500 0.000 0.374
Sm7 0.500 0.000 0.626
Sm8 0.500 0.000 0.878
Sm9 0.000 0.500 0.122
Sm10 0.000 0.500 0.374
Sm11 0.000 0.500 0.626
Sm12 0.000 0.500 0.878
Tm1 0.000 0.000 0.248
Tm2 0.000 0.000 0.500
Tm3 0.000 0.000 0.752
Sc1 0.000 0.000 0.000